Record 1
YInFeSe3 | PBE | optimized geometry

a = 4.0757 Å, b = 14.6774 Å, c = 10.7315 Å
α = 90.00°, β = 90.00°, γ = 90.00°
Space group Cmcm (No. 63)
One atom of each set of equivalent atoms:
Y 0.0000 0.0000 0.0000 x4
In 0.0000 0.2443 0.2500 x4
Fe 0.0000 0.4724 0.7500 x4
Se 0.0000 0.0709 0.7500 x4
Se 0.0000 0.3723 0.5707 x8

Output
Electronic total energy ... -5.544 eV per atom
Crystal system ... orthorhombic
Energy above the lowest structure with this stoichiometry ... 0 meV/atom

---

Record 2
YInFeSe3 | PBE | optimized geometry

a = 11.9205 Å, b = 4.0668 Å, c = 11.8203 Å
α = 90.00°, β = 90.00°, γ = 90.00°
Space group Pnma (No. 62)
One atom of each set of equivalent atoms:
Y 0.0125 0.2500 0.1835 x4
In 0.1842 0.2500 0.5092 x4
Fe 0.2272 0.7500 0.3343 x4
Se 0.0229 0.7500 0.3545 x4
Se 0.1020 0.2500 0.9460 x4
Se 0.2418 0.7500 0.7146 x4

Output
Electronic total energy ... -5.503 eV per atom
Crystal system ... orthorhombic
Energy above the lowest structure with this stoichiometry ... 41 meV/atom

---

Record 3
InFe6Si | PBE | optimized geometry

a = 4.0839 Å, b = 4.0839 Å, c = 5.8401 Å
α = 90.00°, β = 90.00°, γ = 90.00°
Space group P4/mmm (No. 123)
One atom of each set of equivalent atoms:
In 0.0000 0.0000 0.0000 x1
Fe 0.0000 0.0000 0.5000 x1
Fe 0.0000 0.5000 0.2757 x4
Fe 0.5000 0.5000 0.0000 x1
Si 0.5000 0.5000 0.5000 x1

Output
Electronic total energy ... -7.296 eV per atom
Crystal system ... tetragonal

---

Record 4
Tb2SmIn3Fe3 | PBE | optimized geometry

a = 3.9352 Å, b = 12.9258 Å, c = 7.5137 Å
α = 90.00°, β = 90.00°, γ = 90.00°
Space group Amm2 (No. 38)
One atom of each set of equivalent atoms:
Tb 0.0000 0.2037 0.0000 x4
Sm 0.0000 0.0000 0.3801 x2
In 0.5000 0.0000 0.0470 x2
In 0.5000 0.1285 0.6661 x4
Fe 0.0000 0.0000 0.7946 x2
Fe 0.5000 0.1683 0.2950 x4

Output
Electronic total energy ... -5.313 eV per atom
Crystal system ... orthorhombic

---

Record 5
SmInFeTe3 | PBE | optimized geometry

a = 4.2960 Å, b = 15.5032 Å, c = 11.4479 Å
α = 90.00°, β = 90.00°, γ = 90.00°
Space group Cmcm (No. 63)
One atom of each set of equivalent atoms:
Sm 0.0000 0.0000 0.0000 x4
In 0.0000 0.2424 0.2500 x4
Fe 0.0000 0.4728 0.7500 x4
Te 0.0000 0.0784 0.7500 x4
Te 0.0000 0.3638 0.5740 x8

Output
Electronic total energy ... -4.773 eV per atom
Crystal system ... orthorhombic

---

Record 6
InFe3Sn5 | PBE | optimized geometry

a = 5.2226 Å, b = 5.2226 Å, c = 8.1754 Å
α = 90.00°, β = 90.00°, γ = 120.00°
Space group P6/mmm (No. 191)
One atom of each set of equivalent atoms:
In 0.0000 0.0000 0.0000 x1
Fe 0.0000 0.5000 0.5000 x3
Sn 0.0000 0.0000 0.5000 x1
Sn 0.3333 0.6667 0.2162 x4

Output
Electronic total energy ... -5.249 eV per atom
Crystal system ... hexagonal